Computed, not measured: a relaxed structure of KBeTlV2 at the PBE level of DFT.

Results
The calculation puts the total magnetization at 7.28 Bohr magnetons per cell. The formation enthalpy at 0 K comes out at 99.5 kJ/mol of atoms. The total energy comes out at -20.27 eV for the cell shown.

Cell lengths 4.8838, 4.7116, 4.8838 Å; angles 90.00, 90.00, 90.00 degrees
Last column: nearest neighbours and their distance in Å.
Fractional coordinates of all 5 atoms:
Tl 0.0000 0.5000 0.0000  2 Be 2.36
V 0.5000 0.0000 0.0000  2 Be 2.44
V 0.0000 0.0000 0.5000  2 Be 2.44
Be 0.0000 0.0000 0.0000  2 Tl 2.36, 4 V 2.44
K 0.5000 0.5000 0.5000  8 V 3.39, 4 Tl 3.45